A plane-wave DFT calculation with PBE-GGA was carried out for a relaxed SrAc2Cd crystal.

Geometry as POSCAR:
```
SrAc2Cd
1.0
5.528 0.000 0.000
0.000 5.528 0.000
0.000 0.000 5.143
Sr Ac Cd
1 2 1
Direct
0.000 0.000 0.000
0.000 0.500 0.500
0.500 0.000 0.500
0.500 0.500 0.000
```

Output
* energy: -10.80 eV/cell
* formation energy: 0.00 eV/atom
* N(E_F): 1.21 states/eV per atom
* symmetry: No. 123
* calculated density: 6.910 g/cm³
* V: 157.2 Å³/cell


A plane-wave DFT calculation with PBE-GGA was carried out for a relaxed TePSCl2 crystal.

Geometry as POSCAR:
```
TePSCl2
1.0
4.488 0.000 0.000
0.000 4.488 0.000
0.000 0.000 5.762
Te P S Cl
1 1 1 2
Direct
0.000 0.000 0.000
0.500 0.500 0.000
0.500 0.500 0.500
0.000 0.500 0.500
0.500 0.000 0.500
```

Output
* energy: -13.68 eV/cell
* N(E_F): 0.73 states/eV per atom
* energy relative to the elements, uncorrected: 0.539 eV per atom
* symmetry: No. 123
* calculated density: 3.743 g/cm³
* V: 116.0 Å³/cell


A plane-wave DFT calculation with PBE-GGA was carried out for a relaxed HfTl3B crystal.

Geometry as POSCAR:
```
HfTl3B
1.0
5.622 0.000 0.000
0.000 5.622 0.000
0.000 0.000 5.622
Hf Tl B
1 3 1
Direct
0.000 0.000 0.000
0.000 0.000 0.500
0.000 0.500 0.000
0.500 0.000 0.000
0.500 0.500 0.500
```

Output
* energy: -16.20 eV/cell
* formation energy: 1.51 eV/atom
* N(E_F): 0.84 states/eV per atom
* symmetry: No. 221
* calculated density: 7.498 g/cm³
* V: 177.7 Å³/cell


A plane-wave DFT calculation with PBE-GGA was carried out for a relaxed MnReCl2 crystal.

Geometry as POSCAR:
```
MnReCl2
1.0
1.485 0.858 7.734
-1.485 0.858 7.734
0.000 -1.715 7.734
Mn Re Cl
1 1 2
Direct
0.000 0.000 0.000
0.500 0.500 0.500
0.401 0.401 0.401
0.599 0.599 0.599
```

Output
* energy: -23.10 eV/cell
* N(E_F): 1.12 states/eV per atom
* energy relative to the elements, uncorrected: 0.552 eV per atom
* symmetry: No. 166
* calculated density: 8.766 g/cm³
* V: 59.1 Å³/cell


A plane-wave DFT calculation with PBE-GGA was carried out for a relaxed TiS3O crystal.

Geometry as POSCAR:
```
TiS3O
1.0
4.178 0.000 0.000
0.000 4.178 0.000
0.000 0.000 4.178
Ti S O
1 3 1
Direct
0.000 0.000 0.000
0.000 0.500 0.500
0.500 0.000 0.500
0.500 0.500 0.000
0.500 0.500 0.500
```

Output
* energy: -23.69 eV/cell
* N(E_F): 1.00 states/eV per atom
* energy relative to the elements, uncorrected: 0.308 eV per atom
* symmetry: No. 221
* calculated density: 3.643 g/cm³
* V: 72.9 Å³/cell


A plane-wave DFT calculation with PBE-GGA was carried out for a relaxed MnZnPt14 crystal.

Geometry as POSCAR:
```
MnZnPt14
1.0
9.240 0.000 0.000
0.000 2.791 4.810
0.000 -2.791 4.810
Mn Zn Pt
1 1 14
Direct
0.000 0.000 0.000
0.000 0.501 0.501
0.000 0.002 0.502
0.000 0.502 0.002
0.241 0.331 0.831
0.241 0.831 0.331
0.245 0.833 0.833
0.246 0.333 0.333
0.500 0.164 0.164
0.500 0.164 0.664
0.500 0.664 0.164
0.500 0.664 0.664
0.754 0.333 0.333
0.755 0.833 0.833
0.759 0.331 0.831
0.759 0.831 0.331
```

Output
* energy: -97.20 eV/cell
* formation energy: -0.14 eV/atom
* N(E_F): 1.50 states/eV per atom
* symmetry: No. 38
* calculated density: 19.086 g/cm³
* V: 248.1 Å³/cell


> Which of these has the highest V?

MnZnPt14


> Which of these has the lowest energy?

MnZnPt14